VASP calculation (meta-GGA SCAN) on a crystal of La3TcB relaxed with PBEsol.

Calculated formation energy = 602.4 meV per atom
Density of states at the Fermi level = 1.452 states/eV per atom
Total magnetization = 1.02 μB per cell

a = 5.0798 Å, b = 5.0798 Å, c = 5.0798 Å
α = 90.00°, β = 90.00°, γ = 90.00°
Site moments in Bohr magnetons follow the coordinates.
Element x y z (fractional)
B1 0.0000 0.0000 0.0000  0.03
Tc1 0.5000 0.5000 0.5000  2.23
La1 0.0000 0.5000 0.0000  -0.19
La2 0.0000 0.0000 0.5000  -0.19
La3 0.5000 0.0000 0.0000  -0.19


VASP calculation (meta-GGA SCAN) on a crystal of LaTcB2Te relaxed with PBEsol.

Raw formation energy = 1.391 eV/atom
Density of states at the Fermi level = 0.599 states/eV per atom
Total magnetization = 0.86 μB per cell

a = 4.4594 Å, b = 4.4594 Å, c = 4.9154 Å
α = 90.00°, β = 90.00°, γ = 90.00°
Site moments in Bohr magnetons follow the coordinates.
Element x y z (fractional)
B1 0.0000 0.5000 0.0000  -0.01
B2 0.5000 0.0000 0.0000  -0.01
Te1 0.0000 0.0000 0.0000  0.00
Tc1 0.0000 0.0000 0.5000  0.92
La1 0.5000 0.5000 0.5000  -0.03


VASP calculation (meta-GGA SCAN) on a crystal of LaBTe3 relaxed with PBEsol.

Raw formation energy = 0.830 eV/atom
Density of states at the Fermi level = 1.511 states/eV per atom
Total magnetization = 0.00 μB per cell

a = 6.0484 Å, b = 6.0484 Å, c = 6.0484 Å
α = 90.00°, β = 90.00°, γ = 90.00°
Element x y z (fractional)
B1 0.5000 0.5000 0.5000
Te1 0.0000 0.5000 0.0000
Te2 0.0000 0.0000 0.5000
Te3 0.5000 0.0000 0.0000
La1 0.0000 0.0000 0.0000


VASP calculation (meta-GGA SCAN) on a crystal of LaTlZn2B relaxed with PBEsol.

Calculated formation energy = 1018.1 meV per atom
Density of states at the Fermi level = 0.620 states/eV per atom
Total magnetization = 1.23 μB per cell

a = 4.7796 Å, b = 4.7796 Å, c = 6.1641 Å
α = 90.00°, β = 90.00°, γ = 90.00°
Site moments in Bohr magnetons follow the coordinates.
Element x y z (fractional)
Tl1 0.0000 0.0000 0.0000  0.00
B1 0.5000 0.5000 0.5000  0.36
Zn1 0.0000 0.5000 0.0000  0.00
Zn2 0.5000 0.0000 0.0000  0.00
La1 0.0000 0.0000 0.5000  0.14


VASP calculation (meta-GGA SCAN) on a crystal of LaBW3 relaxed with PBEsol.

Calculated formation energy = 810.7 meV per atom
Density of states at the Fermi level = 0.796 states/eV per atom
Total magnetization = 0.00 μB per cell

a = 4.3923 Å, b = 4.3923 Å, c = 4.3923 Å
α = 90.00°, β = 90.00°, γ = 90.00°
Element x y z (fractional)
B1 0.0000 0.0000 0.0000
W1 0.0000 0.5000 0.0000
W2 0.0000 0.0000 0.5000
W3 0.5000 0.0000 0.0000
La1 0.5000 0.5000 0.5000


VASP calculation (meta-GGA SCAN) on a crystal of LaYB3 relaxed with PBEsol.

Calculated formation energy = 1524.6 meV per atom
Density of states at the Fermi level = 0.803 states/eV per atom
Total magnetization = 0.00 μB per cell

a = 4.5450 Å, b = 4.5450 Å, c = 4.5450 Å
α = 90.00°, β = 90.00°, γ = 90.00°
Element x y z (fractional)
Y1 0.5000 0.5000 0.5000
B1 0.0000 0.5000 0.0000
B2 0.0000 0.0000 0.5000
B3 0.5000 0.0000 0.0000
La1 0.0000 0.0000 0.0000


VASP calculation (meta-GGA SCAN) on a crystal of LaZnB3 relaxed with PBEsol.

Calculated formation energy = 2527.2 meV per atom
Density of states at the Fermi level = 0.590 states/eV per atom
Total magnetization = 0.00 μB per cell

a = 4.6732 Å, b = 4.6732 Å, c = 4.6732 Å
α = 90.00°, β = 90.00°, γ = 90.00°
Element x y z (fractional)
Zn1 0.5000 0.5000 0.5000
B1 0.0000 0.5000 0.0000
B2 0.0000 0.0000 0.5000
B3 0.5000 0.0000 0.0000
La1 0.0000 0.0000 0.0000


VASP calculation (meta-GGA SCAN) on a crystal of LiB3 relaxed with PBEsol.

Calculated formation energy = -283.1 meV per atom
Density of states at the Fermi level = 0.009 states/eV per atom
Total magnetization = 0.00 μB per cell

a = 4.1393 Å, b = 5.9505 Å, c = 5.9505 Å
α = 90.00°, β = 90.00°, γ = 90.00°
Element x y z (fractional)
B1 0.7059 0.5000 0.5000
B2 0.7059 0.0000 0.0000
B3 0.2941 0.5000 0.5000
B4 0.2941 0.0000 0.0000
B5 0.0000 0.6315 0.6652
B6 0.0000 0.3685 0.3348
B7 0.0000 0.1315 0.8348
B8 0.0000 0.8685 0.1652
B9 0.0000 0.3348 0.6315
B10 0.0000 0.6652 0.3685
B11 0.0000 0.1652 0.1315
B12 0.0000 0.8348 0.8685
Li1 0.5000 0.6799 0.1799
Li2 0.5000 0.3201 0.8201
Li3 0.5000 0.1799 0.3201
Li4 0.5000 0.8201 0.6799


VASP calculation (meta-GGA SCAN) on a crystal of LiMg9B20 relaxed with PBEsol.

Calculated formation energy = -170.8 meV per atom
Density of states at the Fermi level = 0.224 states/eV per atom
Total magnetization = 0.00 μB per cell

a = 6.1123 Å, b = 7.0426 Å, c = 7.6164 Å
α = 96.27°, β = 101.39°, γ = 115.81°
Element x y z (fractional)
Li1 0.0000 0.0000 0.0000
Mg1 0.5000 0.0000 0.0000
Mg2 0.4998 0.7995 0.3999
Mg3 0.9995 0.3958 0.1980
Mg4 0.5002 0.2005 0.6001
Mg5 0.9995 0.7997 0.3986
Mg6 0.5048 0.6043 0.8023
Mg7 0.4952 0.3957 0.1977
Mg8 0.0005 0.2003 0.6014
Mg9 0.0005 0.6042 0.8020
B1 0.3323 0.2337 0.8661
B2 0.3332 0.6336 0.0669
B3 0.1663 0.3661 0.9316
B4 0.3322 0.0328 0.2667
B5 0.1661 0.7660 0.1342
B6 0.8339 0.2340 0.8658
B7 0.1657 0.1646 0.3329
B8 0.8337 0.6339 0.0684
B9 0.3333 0.4333 0.4671
B10 0.6668 0.3664 0.9331
B11 0.8336 0.0327 0.2667
B12 0.6677 0.7663 0.1339
B13 0.3340 0.8347 0.6672
B14 0.1665 0.5661 0.5332
B15 0.6660 0.1653 0.3328
B16 0.8335 0.4339 0.4668
B17 0.1664 0.9673 0.7333
B18 0.8343 0.8354 0.6671
B19 0.6667 0.5667 0.5329
B20 0.6678 0.9672 0.7333


VASP calculation (meta-GGA SCAN) on a crystal of LiMn3B relaxed with PBEsol.

Calculated formation energy = 1456.3 meV per atom
Density of states at the Fermi level = 0.442 states/eV per atom
Total magnetization = 9.07 μB per cell

a = 3.7370 Å, b = 3.7370 Å, c = 3.7370 Å
α = 90.00°, β = 90.00°, γ = 90.00°
Site moments in Bohr magnetons follow the coordinates.
Element x y z (fractional)
B1 0.5000 0.5000 0.5000  -0.39
Mn1 0.0000 0.5000 0.0000  3.14
Mn2 0.0000 0.0000 0.5000  3.14
Mn3 0.5000 0.0000 0.0000  3.14
Li1 0.0000 0.0000 0.0000  -0.15


VASP calculation (meta-GGA SCAN) on a crystal of Na3LiMnBPO7 relaxed with PBEsol.

Raw formation energy = -2.331 eV/atom
Density of states at the Fermi level = 0.000 states/eV per atom
Total magnetization = 10.00 μB per cell

a = 5.0923 Å, b = 6.4770 Å, c = 10.0044 Å
α = 90.00°, β = 94.98°, γ = 90.00°
Site moments in Bohr magnetons follow the coordinates.
Element x y z (fractional)
Na1 0.7536 0.2500 0.9517  0.00
Na2 0.1993 0.0014 0.7748  0.00
Na3 0.1993 0.4986 0.7748  0.00
Na4 0.8007 0.5014 0.2252  0.00
Na5 0.8007 0.9986 0.2252  0.00
Na6 0.2464 0.7500 0.0483  0.00
Li1 0.0000 0.0000 0.5000  0.00
Li2 0.0000 0.5000 0.5000  0.00
Mn1 0.6700 0.7500 0.6867  4.51
Mn2 0.3300 0.2500 0.3133  4.51
B1 0.7260 0.7500 0.9361  0.00
B2 0.2740 0.2500 0.0639  0.00
P1 0.6418 0.2500 0.5813  0.01
P2 0.3582 0.7500 0.4187  0.01
O1 0.2524 0.2500 0.9272  0.01
O2 0.9412 0.7500 0.8597  0.05
O3 0.4825 0.7500 0.8598  0.06
O4 0.7731 0.0566 0.6518  0.03
O5 0.7731 0.4434 0.6518  0.03
O6 0.2686 0.7500 0.5655  0.03
O7 0.3399 0.2500 0.5825  0.01
O8 0.6601 0.7500 0.4175  0.01
O9 0.7314 0.2500 0.4345  0.03
O10 0.2269 0.5566 0.3482  0.03
O11 0.2269 0.9434 0.3482  0.03
O12 0.5175 0.2500 0.1402  0.06
O13 0.0588 0.2500 0.1403  0.05
O14 0.7476 0.7500 0.0728  0.01


VASP calculation (meta-GGA SCAN) on a crystal of Li2Mn3B3O9 relaxed with PBEsol.

Raw formation energy = -2.339 eV/atom
Density of states at the Fermi level = 0.094 states/eV per atom
Total magnetization = 42.00 μB per cell
E above lowest polymorph = 0.00 kcal/mol of atoms

a = 8.1250 Å, b = 8.1250 Å, c = 9.1901 Å
α = 90.00°, β = 90.00°, γ = 120.00°
Site moments in Bohr magnetons follow the coordinates.
Element x y z (fractional)
Li1 0.3663 0.3206 0.8336  0.00
Li2 0.3696 0.3068 0.5002  0.00
Li3 0.6932 0.0628 0.1669  0.00
Li4 0.6794 0.0456 0.5003  0.00
Li5 0.9372 0.6304 0.8335  0.00
Li6 0.9544 0.6337 0.1669  0.00
Mn1 0.6614 0.6977 0.6642  4.46
Mn2 0.6477 0.7107 0.9975  3.77
Mn3 0.6609 0.6754 0.3292  4.51
Mn4 0.3246 0.9855 0.9958  4.51
Mn5 0.3023 0.9637 0.3309  4.46
Mn6 0.2893 0.9370 0.6642  3.77
Mn7 0.0630 0.3523 0.3309  3.77
Mn8 0.0363 0.3386 0.9976  4.46
Mn9 0.0145 0.3391 0.6625  4.51
B1 0.6444 0.3166 0.6724  0.02
B2 0.0048 0.0039 0.4976  0.03
B3 0.9991 0.9952 0.8309  0.03
B4 0.6834 0.3278 0.3391  0.02
B5 0.9961 0.0009 0.1643  0.03
B6 0.6722 0.3556 0.0058  0.02
B7 0.3428 0.6759 0.1651  0.03
B8 0.3331 0.6572 0.4984  0.03
B9 0.3241 0.6669 0.8317  0.03
O1 0.4789 0.2609 0.9879  0.06
O2 0.4889 0.2320 0.3580  0.07
O3 0.4456 0.2228 0.6709  0.10
O4 0.0867 0.2004 0.4889  0.04
O5 0.0783 0.1891 0.8298  0.05
O6 0.0670 0.1951 0.1736  0.04
O7 0.1281 0.9330 0.5070  0.04
O8 0.1138 0.9133 0.8223  0.04
O9 0.1108 0.9217 0.1632  0.05
O10 0.7680 0.2569 0.0247  0.07
O11 0.7391 0.2180 0.6546  0.06
O12 0.7772 0.2229 0.3376  0.10
O13 0.8109 0.8892 0.4965  0.05
O14 0.8049 0.8719 0.8403  0.04
O15 0.7996 0.8862 0.1556  0.04
O16 0.7771 0.5544 0.0043  0.10
O17 0.7820 0.5211 0.3212  0.06
O18 0.7431 0.5111 0.6913  0.07
O19 0.4155 0.8710 0.1659  0.05
O20 0.4046 0.8523 0.5108  0.03
O21 0.3988 0.8610 0.8184  0.03
O22 0.4622 0.6012 0.1518  0.03
O23 0.4555 0.5845 0.4992  0.05
O24 0.4477 0.5954 0.8441  0.03
O25 0.1477 0.5523 0.1774  0.03
O26 0.1390 0.5378 0.4851  0.03
O27 0.1290 0.5445 0.8325  0.05


VASP calculation (meta-GGA SCAN) on a crystal of Li5Mn3B4O12 relaxed with PBEsol.

Raw formation energy = -2.413 eV/atom
Density of states at the Fermi level = 0.219 states/eV per atom
Total magnetization = 28.00 μB per cell

a = 5.2364 Å, b = 9.0533 Å, c = 9.4818 Å
α = 90.00°, β = 91.52°, γ = 90.00°
Site moments in Bohr magnetons follow the coordinates.
Element x y z (fractional)
Li1 0.1647 0.7625 0.6612  0.00
Li2 0.1692 0.0802 0.6271  0.00
Li3 0.3336 0.5783 0.8720  0.00
Li4 0.3353 0.2604 0.8504  0.00
Li5 0.3183 0.2520 0.3659  0.00
Li6 0.6647 0.2375 0.1612  0.00
Li7 0.6692 0.9198 0.1271  0.00
Li8 0.8183 0.7480 0.8659  0.00
Li9 0.8336 0.4217 0.3720  0.00
Li10 0.8353 0.7396 0.3504  0.00
Mn1 0.1483 0.4197 0.1238  4.08
Mn2 0.1677 0.7563 0.1084  4.47
Mn3 0.3513 0.9276 0.3818  4.21
Mn4 0.6483 0.5803 0.6238  4.08
Mn5 0.6677 0.2437 0.6084  4.47
Mn6 0.8513 0.0724 0.8818  4.21
B1 0.1655 0.4246 0.6222  0.03
B2 0.1664 0.0907 0.1324  0.03
B3 0.3376 0.9227 0.8814  0.02
B4 0.3358 0.5865 0.3657  0.03
B5 0.6664 0.9093 0.6324  0.03
B6 0.6655 0.5754 0.1222  0.03
B7 0.8358 0.4135 0.8657  0.03
B8 0.8376 0.0773 0.3814  0.02
O1 0.0890 0.4130 0.9157  0.01
O2 0.0969 0.0882 0.4101  0.03
O3 0.1870 0.7948 0.8871  0.04
O4 0.2277 0.0583 0.8497  0.04
O5 0.2126 0.4543 0.3318  0.01
O6 0.2075 0.7191 0.3429  0.07
O7 0.2755 0.5601 0.6526  0.03
O8 0.2967 0.2927 0.6288  0.05
O9 0.3038 0.2193 0.1455  0.06
O10 0.2942 0.9585 0.1657  0.04
O11 0.4094 0.9110 0.5915  0.02
O12 0.4061 0.5793 0.0864  0.06
O13 0.5969 0.9118 0.9101  0.03
O14 0.5890 0.5870 0.4157  0.01
O15 0.7126 0.5457 0.8318  0.01
O16 0.7075 0.2809 0.8429  0.07
O17 0.6870 0.2052 0.3871  0.04
O18 0.7277 0.9417 0.3497  0.04
O19 0.8038 0.7807 0.6455  0.06
O20 0.7942 0.0415 0.6657  0.04
O21 0.7755 0.4399 0.1526  0.03
O22 0.7967 0.7073 0.1288  0.05
O23 0.9061 0.4207 0.5864  0.06
O24 0.9094 0.0890 0.0915  0.02


VASP calculation (meta-GGA SCAN) on a crystal of Li2Mn3B3O9 relaxed with PBEsol.

Raw formation energy = -2.336 eV/atom
Density of states at the Fermi level = 0.152 states/eV per atom
Total magnetization = 28.00 μB per cell
E above lowest polymorph = 0.08 kcal/mol of atoms

a = 6.1026 Å, b = 8.1600 Å, c = 8.5574 Å
α = 117.43°, β = 109.73°, γ = 91.54°
Site moments in Bohr magnetons follow the coordinates.
Element x y z (fractional)
B1 0.0060 0.0013 0.9910  0.02
B2 0.4973 0.0005 0.9971  0.02
B3 0.0918 0.3275 0.6714  0.04
B4 0.5730 0.3284 0.6587  0.03
B5 0.9144 0.6694 0.3440  0.04
B6 0.4127 0.6721 0.3364  0.03
Mn1 0.1529 0.0058 0.3316  4.54
Mn2 0.6887 0.0145 0.3815  4.09
Mn3 0.0046 0.3518 0.0028  4.50
Mn4 0.5090 0.3759 0.9926  4.07
Mn5 0.2989 0.6046 0.6238  3.85
Mn6 0.8275 0.6535 0.6861  4.54
O1 0.1714 0.2559 0.7954  0.03
O2 0.6474 0.2589 0.7837  0.04
O3 0.9815 0.2086 0.4774  0.04
O4 0.4939 0.2088 0.4624  0.03
O5 0.0864 0.1907 0.1206  0.06
O6 0.5410 0.1947 0.0840  0.10
O7 0.1283 0.5238 0.7471  0.03
O8 0.5765 0.5200 0.7314  0.03
O9 0.4537 0.5888 0.4499  0.04
O10 0.9854 0.6222 0.4870  0.04
O11 0.8304 0.5349 0.1536  0.03
O12 0.3363 0.5578 0.1400  0.05
O13 0.3961 0.8933 0.7962  0.10
O14 0.8881 0.9365 0.7956  0.05
O15 0.4467 0.8662 0.4152  0.04
O16 0.9360 0.8607 0.4025  0.03
O17 0.0426 0.8666 0.0468  0.06
O18 0.5415 0.9112 0.1036  0.10
Li1 0.4180 0.3008 0.2807  0.00
Li2 0.1070 0.9738 0.6922  0.00
Li3 0.5848 0.9860 0.6992  0.00
Li4 0.2799 0.7182 0.0185  0.00


VASP calculation (meta-GGA SCAN) on a crystal of Li5Mn6B6O18 relaxed with PBEsol.

Raw formation energy = -2.368 eV/atom
Density of states at the Fermi level = 0.310 states/eV per atom
Total magnetization = 58.00 μB per cell

a = 6.1828 Å, b = 8.6586 Å, c = 14.1330 Å
α = 90.43°, β = 90.00°, γ = 110.92°
Site moments in Bohr magnetons follow the coordinates.
Element x y z (fractional)
Li1 0.1042 0.2085 0.0111  0.00
Li2 0.0792 0.1584 0.6417  0.00
Li3 0.3149 0.6297 0.8508  0.00
Li4 0.3299 0.6598 0.1418  0.00
Li5 0.3554 0.7108 0.5084  0.00
Li6 0.5645 0.1289 0.3498  0.00
Li7 0.5810 0.1621 0.6411  0.00
Li8 0.6040 0.2081 0.0095  0.00
Li9 0.8307 0.6614 0.1411  0.00
Li10 0.8526 0.7053 0.5126  0.00
Mn1 0.1762 0.8581 0.9892  4.42
Mn2 0.1595 0.8231 0.6904  4.37
Mn3 0.4246 0.3577 0.4891  4.42
Mn4 0.4103 0.3235 0.1905  4.37
Mn5 0.1559 0.8171 0.3199  4.43
Mn6 0.4107 0.3174 0.8197  4.43
Mn7 0.9067 0.3174 0.8197  4.43
Mn8 0.6612 0.8171 0.3199  4.43
Mn9 0.9132 0.3235 0.1905  4.37
Mn10 0.9332 0.3577 0.4891  4.42
Mn11 0.6637 0.8231 0.6904  4.37
Mn12 0.6819 0.8581 0.9892  4.42
B1 0.0021 0.4971 0.0030  0.02
B2 0.2499 0.4999 0.6652  0.03
B3 0.0001 0.0002 0.1631  0.04
B4 0.0032 0.0064 0.8341  0.04
B5 0.4950 0.4971 0.0030  0.02
B6 0.2524 0.9970 0.5029  0.02
B7 0.5010 0.0019 0.8325  0.03
B8 0.7507 0.5014 0.3325  0.03
B9 0.2535 0.5069 0.3341  0.04
B10 0.4992 0.9985 0.1637  0.03
B11 0.7490 0.4980 0.6611  0.04
B12 0.7446 0.9970 0.5029  0.02
O1 0.0826 0.1652 0.8725  0.05
O2 0.2419 0.4838 0.2359  0.04
O3 0.1801 0.3603 0.7208  0.05
O4 0.1856 0.3712 0.3922  0.05
O5 0.2434 0.4869 0.5678  0.05
O6 0.0803 0.1606 0.1964  0.04
O7 0.1711 0.8432 0.5469  0.06
O8 0.3192 0.1399 0.5589  0.06
O9 0.0709 0.6401 0.0590  0.06
O10 0.4247 0.3434 0.0470  0.06
O11 0.0212 0.5085 0.9067  0.07
O12 0.2713 0.0085 0.4066  0.07
O13 0.4302 0.8604 0.2205  0.05
O14 0.4312 0.8624 0.8895  0.04
O15 0.4915 0.9830 0.0662  0.05
O16 0.3273 0.6546 0.7089  0.04
O17 0.4906 0.9813 0.7344  0.03
O18 0.5770 0.1540 0.2066  0.04
O19 0.5794 0.1588 0.8723  0.05
O20 0.6823 0.3646 0.7217  0.04
O21 0.6804 0.3608 0.3883  0.05
O22 0.7410 0.4820 0.2342  0.03
O23 0.7352 0.4704 0.5639  0.05
O24 0.3330 0.6661 0.3718  0.05
O25 0.7372 0.0085 0.4066  0.07
O26 0.4873 0.5085 0.9067  0.07
O27 0.9187 0.3434 0.0470  0.06
O28 0.5692 0.6401 0.0590  0.06
O29 0.8207 0.1399 0.5589  0.06
O30 0.6722 0.8432 0.5469  0.06
O31 0.9325 0.8649 0.2225  0.04
O32 0.8289 0.6578 0.3730  0.05
O33 0.9350 0.8699 0.8915  0.05
O34 0.9919 0.9837 0.7358  0.05
O35 0.9876 0.9752 0.0660  0.05
O36 0.8296 0.6592 0.6931  0.04